[1]
# BeGaI2O, relaxed, DFT PBE
data_BeGaI2O
_chemical_formula_sum 'Be1 Ga1 I2 O1'
_cell_length_a 5.6766
_cell_length_b 5.6766
_cell_length_c 3.6472
_cell_angle_alpha 90.00
_cell_angle_beta 90.00
_cell_angle_gamma 90.00
_space_group_name_H-M_alt 'P 1'
_space_group_IT_number 1
_space_group_name_Hall 'P 1'
loop_
_atom_site_label
_atom_site_type_symbol
_atom_site_fract_x
_atom_site_fract_y
_atom_site_fract_z
Be1 Be 0.0000 0.0000 0.0000
Ga1 Ga 0.5000 0.5000 0.5000
I1 I 0.0000 0.5000 0.5000
I2 I 0.5000 0.0000 0.5000
O1 O 0.5000 0.5000 0.0000
# - Space-group type: No. 123
# - Energy relative to the elements, uncorrected: 77 meV per atom

***

[2]
# PaCdPd6, relaxed, DFT PBE
data_PaCdPd6
_chemical_formula_sum 'Pa1 Cd1 Pd6'
_cell_length_a 7.4470
_cell_length_b 7.4470
_cell_length_c 7.4470
_cell_angle_alpha 43.04
_cell_angle_beta 43.04
_cell_angle_gamma 43.04
_space_group_name_H-M_alt 'P 1'
_space_group_IT_number 1
_space_group_name_Hall 'P 1'
loop_
_atom_site_label
_atom_site_type_symbol
_atom_site_fract_x
_atom_site_fract_y
_atom_site_fract_z
Pa1 Pa 0.0000 0.0000 0.0000
Cd1 Cd 0.5000 0.5000 0.5000
Pd1 Pd 0.0706 0.0706 0.5600
Pd2 Pd 0.0706 0.5600 0.0706
Pd3 Pd 0.4400 0.9294 0.9294
Pd4 Pd 0.5600 0.0706 0.0706
Pd5 Pd 0.9294 0.4400 0.9294
Pd6 Pd 0.9294 0.9294 0.4400
# - Energy of formation: -0.153 eV per atom
# - Space-group type: No. 166

***

[3]
# NiOs3Au, relaxed, DFT PBE
data_NiOs3Au
_chemical_formula_sum 'Ni1 Os3 Au1'
_cell_length_a 4.8448
_cell_length_b 4.8448
_cell_length_c 4.8448
_cell_angle_alpha 90.00
_cell_angle_beta 90.00
_cell_angle_gamma 90.00
_space_group_name_H-M_alt 'P 1'
_space_group_IT_number 1
_space_group_name_Hall 'P 1'
loop_
_atom_site_label
_atom_site_type_symbol
_atom_site_fract_x
_atom_site_fract_y
_atom_site_fract_z
Ni1 Ni 0.0000 0.0000 0.0000
Os1 Os 0.0000 0.5000 0.5000
Os2 Os 0.5000 0.0000 0.5000
Os3 Os 0.5000 0.5000 0.0000
Au1 Au 0.5000 0.5000 0.5000
# - Energy of formation: 3.267 eV per atom
# - Space-group type: No. 221

***

| no. | spin magnetization (μB per formula unit) |
| --- | --- |
| 1 | 0.00 |
| 2 | 0.00 |
| 3 | 6.62 |